No. 1
# Pm4Nd4Dy5

A geometry-optimized Pm4Nd4Dy5 structure (PBE-GGA, Alexandria via LeMat-Bulk).

- energy relative to the elements (meV/atom) = 15
- space-group type = No. 87

Cell lengths 5.0985, 9.5884, 9.5884 Å; angles 85.95, 74.58, 74.58 degrees
Fractional coordinates of all 13 atoms:
Pm 0.7712 0.3814 0.0762
Pm 0.2288 0.6186 0.9238
Pm 0.8474 0.9238 0.3814
Pm 0.1526 0.0762 0.6186
Nd 0.9215 0.4621 0.6949
Nd 0.6164 0.3051 0.4621
Nd 0.0785 0.5379 0.3051
Nd 0.3836 0.6949 0.5379
Dy 0.6898 0.8487 0.7718
Dy 0.3102 0.1513 0.2282
Dy 0.0000 0.0000 0.0000
Dy 0.5384 0.7718 0.1513
Dy 0.4616 0.2282 0.8487

---

No. 2
# UBiS3

A geometry-optimized UBiS3 structure (PBE-GGA, Alexandria via LeMat-Bulk).

- space-group type = No. 12
- energy relative to the elements, uncorrected (eV/atom) = -0.761

Cell lengths 3.6576, 9.8420, 8.5409 Å; angles 109.10, 102.36, 90.00 degrees
Last column: magnetic moment on the atom in μB.
Fractional coordinates of all 10 atoms:
U 0.6491 0.3366 0.2981  2.02
U 0.3509 0.6634 0.7019  2.02
Bi 0.8495 0.1674 0.6990  0.01
Bi 0.1505 0.8326 0.3010  0.01
S 0.0349 0.2169 0.0698  -0.08
S 0.9651 0.7831 0.9302  -0.08
S 0.3190 0.9149 0.6379  -0.04
S 0.6810 0.0851 0.3621  -0.04
S 0.1773 0.5565 0.3546  -0.07
S 0.8227 0.4435 0.6454  -0.07

---

No. 3
# Na4Pu3HgSe8

A geometry-optimized Na4Pu3HgSe8 structure (PBE-GGA, Alexandria via LeMat-Bulk).

- space-group type = No. 166
- energy relative to the elements, uncorrected (eV/atom) = -1.172

Cell lengths 8.3814, 8.4614, 8.3824 Å; angles 119.69, 120.00, 90.00 degrees
Last column: magnetic moment on the atom in μB.
Fractional coordinates of all 16 atoms:
Na 0.5000 0.0000 0.0000  0.00
Na 0.5000 0.0000 0.5000  0.00
Na 0.0000 0.0000 0.0000  0.00
Na 0.0000 0.0000 0.5000  0.00
Pu 0.5000 0.5000 0.0000  -4.97
Pu 0.5000 0.5000 0.5000  -4.97
Pu 0.0000 0.5000 0.5000  -4.97
Hg 0.0000 0.5000 0.0000  -0.03
Se 0.2465 0.7300 0.9834  0.11
Se 0.2469 0.7303 0.4937  0.11
Se 0.2571 0.2711 0.5142  0.12
Se 0.7369 0.7300 0.9834  0.11
Se 0.2631 0.2700 0.0166  0.11
Se 0.7429 0.7289 0.4858  0.12
Se 0.7531 0.2697 0.5063  0.11
Se 0.7535 0.2700 0.0166  0.11

---

No. 4
# CeGa3NiRh

A geometry-optimized CeGa3NiRh structure (PBE-GGA, Alexandria via LeMat-Bulk).

- energy relative to the elements (meV/atom) = -459
- space-group type = No. 63

Cell lengths 5.5882, 6.0312, 6.8879 Å; angles 115.96, 90.00, 90.00 degrees
Last column: magnetic moment on the atom in μB.
Fractional coordinates of all 12 atoms:
Ce 0.7500 0.2785 0.5571  0.28
Ce 0.2500 0.7215 0.4429  0.28
Ga 0.2500 0.1393 0.2785  0.00
Ga 0.0000 0.2874 0.0000  0.00
Ga 0.5000 0.7126 0.0000  0.00
Ga 0.5000 0.2874 0.0000  0.00
Ga 0.0000 0.7126 0.0000  0.00
Ga 0.7500 0.8607 0.7215  0.00
Ni 0.2500 0.9214 0.8428  -0.02
Ni 0.7500 0.0786 0.1572  -0.02
Rh 0.2500 0.3431 0.6863  -0.04
Rh 0.7500 0.6569 0.3137  -0.04

---

No. 5
# ScTaTe

A geometry-optimized ScTaTe structure (PBE-GGA, Alexandria via LeMat-Bulk).

- ΔE to the lowest computed polymorph (meV/atom) = 399
- space-group type = No. 216
- energy relative to the elements, uncorrected (eV/atom) = 0.223

Cell lengths 4.6278, 4.6278, 4.6278 Å; angles 60.00, 60.00, 60.00 degrees
Fractional coordinates of all 3 atoms:
Sc 0.0000 0.0000 0.0000
Ta 0.5000 0.5000 0.5000
Te 0.7500 0.7500 0.7500

---

No. 6
# ZnCu

A geometry-optimized ZnCu structure (PBE-GGA, Alexandria via LeMat-Bulk).

- energy relative to the elements (meV/atom) = -47
- space-group type = No. 227

Cell lengths 4.1995, 4.1999, 4.1995 Å; angles 59.99, 59.99, 59.99 degrees
Fractional coordinates of all 4 atoms:
Zn 0.8750 0.8750 0.8750
Zn 0.1250 0.1250 0.1250
Cu 0.6250 0.6250 0.6250
Cu 0.3750 0.3750 0.3750